# 1
## ErBiAs2 (PBE)

Data for a relaxed ErBiAs2 crystal.

Output
**Total moment**: 0.00 μB/f.u.
**Total energy**: -20.373 eV per cell
**Symmetry**: R-3m, No. 166
**Energy relative to the elements**: -0.658 eV/atom

a b c (Å): 4.1754 4.1754 7.2900
angles (deg): 73.36 73.36 60.00
Atoms (fractional coordinates):
As: 0.7539 0.7539 0.7382
As: 0.2461 0.2461 0.2618
Er: 0.5000 0.5000 0.5000
Bi: 0.0000 0.0000 0.0000

***

# 2
## LaTiAs2 (PBE)

Data for a relaxed LaTiAs2 crystal.

Output
**Total moment**: 0.00 μB/f.u.
**ΔE to the lowest computed polymorph**: 297 meV/atom
**Total energy**: -51.013 eV per cell
**Symmetry**: I-42d, No. 122
**Energy relative to the elements**: -0.846 eV/atom

a b c (Å): 7.3291 7.3291 6.3399
angles (deg): 54.69 54.69 90.00
Atoms (fractional coordinates):
As: 0.1786 0.6250 0.2500
As: 0.3750 0.4286 0.7500
As: 0.8750 0.8214 0.7500
As: 0.5714 0.1250 0.2500
Ti: 0.2500 0.7500 0.5000
Ti: 0.5000 0.5000 0.0000
La: 0.0000 0.0000 0.0000
La: 0.7500 0.2500 0.5000